Model 1:
The following is a DFT calculation (PBE) of NaFeAs2Br after structural relaxation.

Cell lengths 5.2272, 5.2272, 4.9375 Å; angles 90.00, 90.00, 90.00 degrees
Closest atoms and distances in Å follow each position.
Positions (direct):
1 Na 0.0000 0.0000 0.0000  2 Br 2.47
2 Fe 0.5000 0.5000 0.0000  8 As 3.60, 4 Na 3.70
3 As 0.0000 0.5000 0.5000  2 Br 2.61
4 As 0.5000 0.0000 0.5000  2 Br 2.61
5 Br 0.0000 0.0000 0.5000  2 Na 2.47, 4 As 2.61

---

Model 2:
The following is a DFT calculation (PBE) of NaFeAs2Br after structural relaxation.

Cell lengths 4.9546, 4.9546, 5.0755 Å; angles 90.00, 90.00, 90.00 degrees
Closest atoms and distances in Å follow each position.
Positions (direct):
1 Na 0.0000 0.0000 0.0000  4 As 2.48, 2 Br 2.54
2 Fe 0.5000 0.5000 0.5000  4 Br 3.50, 8 As 3.55
3 As 0.0000 0.5000 0.0000  2 Na 2.48
4 As 0.5000 0.0000 0.0000  2 Na 2.48
5 Br 0.0000 0.0000 0.5000  2 Na 2.54

---

Name the least stable of them. model 2.

---

Model 1:
The following is a DFT calculation (PBE) of NbFeAsBr2 after structural relaxation.

Cell lengths 5.1705, 5.1705, 5.0986 Å; angles 90.00, 90.00, 90.00 degrees
Closest atoms and distances in Å follow each position.
Positions (direct):
1 Nb 0.0000 0.0000 0.0000  2 As 2.55, 4 Br 2.59
2 Fe 0.5000 0.5000 0.5000  8 Br 3.63, 4 As 3.66
3 As 0.0000 0.0000 0.5000  2 Nb 2.55
4 Br 0.0000 0.5000 0.0000  2 Nb 2.59
5 Br 0.5000 0.0000 0.0000  2 Nb 2.59

---

Model 2:
The following is a DFT calculation (PBE) of NbFeAsBr2 after structural relaxation.

Cell lengths 4.9119, 4.9119, 4.5055 Å; angles 90.00, 90.00, 90.00 degrees
Closest atoms and distances in Å follow each position.
Positions (direct):
1 Nb 0.0000 0.0000 0.0000  8 Br 3.33, 4 As 3.47
2 Fe 0.5000 0.5000 0.5000  2 As 2.25, 4 Br 2.46
3 As 0.5000 0.5000 0.0000  2 Fe 2.25
4 Br 0.0000 0.5000 0.5000  2 Fe 2.46
5 Br 0.5000 0.0000 0.5000  2 Fe 2.46

---

Name the least stable of them. model 2.

---

Model 1:
The following is a DFT calculation (PBE) of FeNiAsBr2 after structural relaxation.

Cell lengths 5.0776, 5.0776, 4.4756 Å; angles 90.00, 90.00, 90.00 degrees
Closest atoms and distances in Å follow each position.
Positions (direct):
1 Fe 0.0000 0.0000 0.0000  2 As 2.24
2 Ni 0.5000 0.5000 0.5000  8 Br 3.38, 4 As 3.59
3 As 0.0000 0.0000 0.5000  2 Fe 2.24
4 Br 0.0000 0.5000 0.0000  2 Fe 2.54
5 Br 0.5000 0.0000 0.0000  2 Fe 2.54

---

Model 2:
The following is a DFT calculation (PBE) of FeNiAsBr2 after structural relaxation.

Cell lengths 4.9323, 4.9323, 4.6350 Å; angles 90.00, 90.00, 90.00 degrees
Closest atoms and distances in Å follow each position.
Positions (direct):
1 Fe 0.0000 0.0000 0.0000  8 Br 3.38, 4 As 3.49
2 Ni 0.5000 0.5000 0.5000  2 As 2.32, 4 Br 2.47
3 As 0.5000 0.5000 0.0000  2 Ni 2.32
4 Br 0.0000 0.5000 0.5000  2 Ni 2.47
5 Br 0.5000 0.0000 0.5000  2 Ni 2.47

---

Name the least stable of them. model 1.